Entry 1:
Material: TmScOsRh
Method: DFT, PBE
State: relaxed

abc: 6.5910 6.5910 6.5910
angles: 90.00 90.00 90.00
Space group F-43m (No. 216)
Unique sites:
Tm 0.0000 0.0000 0.0000
Sc 0.0000 0.0000 0.5000
Os 0.2500 0.2500 0.7500
Rh 0.2500 0.2500 0.2500

Results
As for the raw total energy: -7.97 eV/atom. Its energy above the most stable polymorph in this dataset is 24 meV per atom. The value obtained for the energy of formation is -625 meV/atom. The calculation puts the density of states at the Fermi level at 8.47 states/eV per cell.

***

Entry 2:
Material: ScUOsRh
Method: DFT, PBE
State: relaxed

abc: 6.6517 6.6517 6.6517
angles: 90.00 90.00 90.00
Space group F-43m (No. 216)
Unique sites:
Sc 0.0000 0.0000 0.0000
U 0.0000 0.0000 0.5000
Os 0.2500 0.2500 0.2500
Rh 0.2500 0.2500 0.7500

Results
As for the raw total energy: -9.47 eV/atom. The value obtained for the energy of formation is -419 meV/atom. The calculation puts the density of states at the Fermi level at 30.36 states/eV per cell.

***

Entry 3:
Material: YScOsRh2
Method: DFT, PBE
State: relaxed

abc: 4.7265 4.7265 5.0609
angles: 90.00 90.00 90.00
Space group P4/mmm (No. 123)
Unique sites:
Y 0.0000 0.0000 0.0000
Sc 0.0000 0.0000 0.5000
Os 0.5000 0.5000 0.5000
Rh 0.0000 0.5000 0.0000

Results
As for the raw total energy: -6.03 eV/atom. The value obtained for the energy of formation is 1716 meV/atom. The calculation puts the density of states at the Fermi level at 4.66 states/eV per cell.

***

Entry 4:
Material: YScOsRh
Method: DFT, PBE
State: relaxed

abc: 6.6524 6.6524 6.6524
angles: 90.00 90.00 90.00
Space group F-43m (No. 216)
Unique sites:
Y 0.0000 0.0000 0.0000
Sc 0.0000 0.0000 0.5000
Os 0.2500 0.2500 0.2500
Rh 0.2500 0.2500 0.7500

Results
As for the raw total energy: -8.37 eV/atom. The value obtained for the energy of formation is -528 meV/atom. The calculation puts the density of states at the Fermi level at 9.87 states/eV per cell.

***

Entry 5:
Material: ScZn2OsRh
Method: DFT, PBE
State: relaxed

abc: 4.7178 4.7178 4.7182
angles: 90.00 90.00 90.00
Space group P4/mmm (No. 123)
Unique sites:
Sc 0.0000 0.0000 0.0000
Zn 0.0000 0.5000 0.5000
Os 0.5000 0.5000 0.5000
Rh 0.5000 0.5000 0.0000

Results
As for the raw total energy: -4.95 eV/atom. The value obtained for the energy of formation is 539 meV/atom. The calculation puts the density of states at the Fermi level at 3.69 states/eV per cell.

***

Entry 6:
Material: Sc2ZnOsRh
Method: DFT, PBE
State: relaxed

abc: 4.8240 4.8240 4.4275
angles: 90.00 90.00 90.00
Space group P4/mmm (No. 123)
Unique sites:
Sc 0.0000 0.5000 0.0000
Zn 0.0000 0.0000 0.0000
Os 0.0000 0.0000 0.5000
Rh 0.5000 0.5000 0.5000

Results
As for the raw total energy: -5.74 eV/atom. The value obtained for the energy of formation is 763 meV/atom. The calculation puts the density of states at the Fermi level at 5.15 states/eV per cell.

***

> Number 1 is which compound?

TmScOsRh

***

> Which formula does entry 6 have?

Sc2ZnOsRh